A geometry-optimized Si4Te2P structure. Source: Alexandria via LeMat-Bulk, functional PBE.

Computed properties:
Total magnetic moment: 0.000 μB/f.u.
Fermi-level density of states: 2.70 states/eV per cell

```
Si4Te2P
1.0
4.627 0.000 0.000
0.000 4.627 0.000
2.313 2.313 7.530
P Si Te
1 4 2
direct
0.000 0.000 0.000
0.842 0.842 0.315
0.158 0.158 0.685
0.000 0.500 0.000
0.500 0.000 0.000
0.632 0.632 0.735
0.368 0.368 0.265
```


A geometry-optimized SiTe2P structure. Source: Alexandria via LeMat-Bulk, functional PBE.

Computed properties:
Total magnetic moment: 0.000 μB/f.u.
Relative energy among the computed polymorphs: 0.503 eV per atom
Fermi-level density of states: 2.55 states/eV per cell

```
SiTe2P
1.0
-0.053 0.046 -5.822
-2.879 -5.014 0.693
-0.658 5.753 0.613
P Si Te
1 1 2
direct
0.250 0.750 0.500
0.750 0.250 0.500
0.002 0.002 0.000
0.498 0.498 0.000
```


Values of ΔE_f (raw), in order: 619, 587, all in meV/atom.